Material: Fe3O4F2
Method: DFT, PBE with a Hubbard U
State: optimized geometry

N(E_F): 1.47 states/eV/f.u.
Magnetization: 1.444 μB per atom
DFT total energy: -54.203 eV/f.u.
Excess energy over the best structure of this formula in the dataset: 0.0745 eV per atom

Cell and atoms, written as POSCAR:
```
Fe3O4F2
1.0
5.612 0.009 -0.001
1.984 5.250 -0.001
2.611 1.807 6.759
O F Fe
8 4 6
Cartesian
5.075 3.513 1.437
5.133 3.553 5.320
6.586 6.071 5.656
6.208 1.938 3.378
8.002 4.026 5.656
4.000 5.128 3.378
3.622 0.994 1.101
2.206 3.039 1.101
6.858 4.747 3.108
9.445 6.538 5.865
0.763 0.528 0.892
3.350 2.319 3.649
3.604 2.495 5.652
6.604 4.571 1.105
3.798 2.629 -0.001
5.104 3.533 3.378
2.112 1.462 2.250
8.096 5.604 4.507
```